PBE-GGA NbMoSe, optimized geometry; total energy = -24.8 eV/f.u.; symmetry = P1; ρ = 8.37 g/cm3; polymorph energy (0 for the lowest one) = 185 meV/atom; formation energy without anion corrections = -0.127 eV per atom; total moment = 0.000 μB per formula unit
1.0
3.125 -0.001 0.022
1.076 4.707 -0.001
1.557 0.000 7.230
Nb Se Mo
2 2 2
Cartesian
1.172 2.823 1.330
2.178 0.480 5.397
3.712 2.563 5.874
1.642 0.199 0.853
3.116 0.698 2.997
2.091 3.062 3.734